CsCuGeTe3 after structural relaxation, computed with PBE.

The structure in POSCAR format:
```
CsCuGeTe3
1.0
-4.711 -5.647 -6.786
3.732 -1.449 -1.385
1.786 -4.577 9.597
Ge Te Cu Cs
2 6 2 2
Direct
0.826 0.750 0.862
0.174 0.250 0.138
0.378 0.750 0.160
0.724 0.750 0.572
0.972 0.750 0.144
0.276 0.250 0.428
0.622 0.250 0.840
0.028 0.250 0.856
0.438 0.750 0.424
0.562 0.250 0.576
0.264 0.750 0.730
0.736 0.250 0.270
```

Values from the calculation:
electronic total energy	-40.91	eV/cell
energy above the lowest structure with this stoichiometry	0	meV per atom